Cr3GeW2 | PBE | optimized geometry

Cell: 4.7862 4.7862 4.9131 Å, 90.02 119.15 119.98°
With the nearest neighbours (Å) after each atom.
Fractional positions:
W  0.7564  0.3776  0.1340  3 Ge 2.81-2.82, 9 Cr 2.82-2.92, 4 W 2.97-2.98
W  0.2436  0.6224  0.8660  3 Ge 2.81-2.82, 9 Cr 2.82-2.92, 4 W 2.97-2.98
Cr  0.5000  0.0000  0.5000  4 Cr 2.39, 2 Ge 2.46
Cr  0.5000  0.5000  0.5000  4 Cr 2.39, 2 Ge 2.46
Cr  0.0000  0.0000  0.5000  4 Cr 2.39, 2 Ge 2.46
Ge  0.0000  0.0000  0.0000  6 Cr 2.46

Results
As for the energy: -9.8968 eV/atom. The calculation puts the formation energy at 0.00 eV per atom. The volume comes out at 13.43 Å³/atom.


CrGeW3 | PBE | optimized geometry

Cell: 4.5440 4.5440 4.5440 Å, 90.00 90.00 90.00°
With the nearest neighbours (Å) after each atom.
Fractional positions:
W  0.0000  0.5000  0.0000  2 Ge 2.27
W  0.0000  0.0000  0.5000  2 Ge 2.27
W  0.5000  0.0000  0.0000  2 Ge 2.27
Ge  0.0000  0.0000  0.0000  6 W 2.27
Cr  0.5000  0.5000  0.5000  12 W 3.21

Results
As for the energy: -8.6174 eV/atom. Its offset from the most stable computed form is 2.18 eV/f.u. The calculation puts the formation energy at 2.00 eV per atom. The volume comes out at 18.76 Å³/atom.


CrGeW2 | PBE | optimized geometry

Cell: 3.7422 3.7422 9.8216 Å, 79.02 79.02 90.00°
With the nearest neighbours (Å) after each atom.
Fractional positions:
W  0.3750  0.3716  0.7500  4 W 2.63-2.66, 2 Ge 2.71, 2 Cr 2.71
W  0.1216  0.6250  0.2500  4 W 2.63-2.66, 2 Ge 2.71, 2 Cr 2.71
W  0.6284  0.1250  0.2500  4 W 2.63-2.66, 2 Ge 2.71, 2 Cr 2.71
W  0.8750  0.8784  0.7500  4 W 2.63-2.66, 2 Ge 2.71, 2 Cr 2.71
Ge  0.7500  0.2500  0.5000  4 Cr 2.65, 4 W 2.71
Ge  0.0000  0.0000  0.0000  4 Cr 2.65, 4 W 2.71
Cr  0.5000  0.5000  0.0000  4 Ge 2.65, 4 W 2.71
Cr  0.2500  0.7500  0.5000  4 Ge 2.65, 4 W 2.71

Results
As for the energy: -9.3028 eV/atom. The calculation puts the formation energy at 0.73 eV per atom. The volume comes out at 16.56 Å³/atom.


Which of these has the highest energy? CrGeW3